NaCrNO2 | PBE+U | relaxed Values from VASP.

Summary:
SG: No. 123
Total energy in Ry per atom: -0.2720
Total moment in Bohr magnetons per cell: 2.05
Theoretical density in g/cm³: 3.1

Cell and atoms, written as Quantum ESPRESSO input:
```
&SYSTEM
  ibrav = 0, nat = 5, ntyp = 4
/
ATOMIC_SPECIES
N 14.01 N.upf
O 16.00 O.upf
Na 22.99 Na.upf
Cr 52.00 Cr.upf
ATOMIC_POSITIONS angstrom
N 0.0000 0.0000 2.0389
O 2.0084 0.0000 0.0000
O 0.0000 2.0084 0.0000
Na 0.0000 0.0000 0.0000
Cr 2.0084 2.0084 2.0389
CELL_PARAMETERS angstrom
4.0167 0.0000 0.0000
0.0000 4.0167 0.0000
0.0000 0.0000 4.0778
```

***

NaCrNO2 | PBE+U | relaxed Values from VASP.

Summary:
SG: No. 123
Total energy in Ry per atom: -0.4339
Total moment in Bohr magnetons per cell: 0.00
Theoretical density in g/cm³: 3.9

Cell and atoms, written as Quantum ESPRESSO input:
```
&SYSTEM
  ibrav = 0, nat = 5, ntyp = 4
/
ATOMIC_SPECIES
O 16.00 O.upf
N 14.01 N.upf
Cr 52.00 Cr.upf
Na 22.99 Na.upf
ATOMIC_POSITIONS angstrom
O 0.0000 1.8843 0.0000
N 0.0000 0.0000 1.8327
O 1.8843 0.0000 0.0000
Cr 0.0000 0.0000 0.0000
Na 1.8843 1.8843 1.8327
CELL_PARAMETERS angstrom
3.7687 0.0000 0.0000
0.0000 3.7687 0.0000
0.0000 0.0000 3.6654
```